Compound: DyHgB2O6
Source: Alexandria
Functional: PBE
Structure: relaxed

Results
E_tot ... -6.910 eV/atom
Space-group type ... C2/c
Total moment ... 0.00 Bohr magnetons per cell
E_form (uncorrected) ... -2.11 eV/atom

Cell lengths 6.482, 6.482, 6.674 Å; angles 100.83, 100.83, 107.54 degrees
Fractional coordinates of all 20 atoms:
B 0.097 0.414 0.240
B 0.903 0.586 0.760
B 0.414 0.097 0.740
B 0.586 0.903 0.260
O 0.918 0.775 0.910
O 0.510 0.935 0.730
O 0.293 0.495 0.397
O 0.225 0.082 0.590
O 0.505 0.707 0.103
O 0.495 0.293 0.897
O 0.707 0.505 0.603
O 0.490 0.065 0.270
O 0.082 0.225 0.090
O 0.775 0.918 0.410
O 0.065 0.490 0.770
O 0.935 0.510 0.230
Hg 0.100 0.900 0.250
Hg 0.900 0.100 0.750
Dy 0.426 0.574 0.750
Dy 0.574 0.426 0.250

=====

Compound: DyHgBPt4
Source: Alexandria
Functional: PBE
Structure: relaxed

Results
DFT formation energy ... 1.085 eV per atom
E_tot ... -4.021 eV/atom
Space-group type ... F-43m
Total moment ... 0.01 Bohr magnetons per cell

Cell lengths 7.456, 7.456, 7.456 Å; angles 60.00, 60.00, 60.00 degrees
Fractional coordinates of all 7 atoms:
Pt 0.357 0.928 0.357
Pt 0.357 0.357 0.928
Pt 0.928 0.357 0.357
Pt 0.357 0.357 0.357
B 0.250 0.250 0.250
Dy 0.500 0.500 0.500
Hg 0.750 0.750 0.750

=====

Compound: Dy3Hg2BRu3
Source: Alexandria
Functional: PBE
Structure: relaxed

Results
DFT formation energy ... -0.323 eV per atom
E_tot ... -5.758 eV/atom
Space-group type ... P-62m
Total moment ... 0.00 Bohr magnetons per cell

Cell lengths 3.445, 7.606, 7.606 Å; angles 120.00, 90.00, 90.00 degrees
Fractional coordinates of all 9 atoms:
Dy 0.000 0.000 0.344
Dy 0.000 0.344 0.000
Dy 0.000 0.656 0.656
Hg 0.500 0.333 0.667
Hg 0.500 0.667 0.333
Ru 0.500 0.000 0.787
Ru 0.500 0.213 0.213
Ru 0.500 0.787 0.000
B 0.000 0.000 0.000

=====

Compound: DyHoB12
Source: Alexandria
Functional: PBE
Structure: relaxed

Results
DFT formation energy ... -0.392 eV per atom
E_tot ... -6.771 eV/atom
Space-group type ... P4/mmm
Total moment ... 0.00 Bohr magnetons per cell

Cell lengths 4.091, 4.091, 8.189 Å; angles 90.00, 90.00, 90.00 degrees
Fractional coordinates of all 14 atoms:
Dy 0.000 0.000 0.500
B 0.500 0.500 0.901
B 0.801 0.500 0.750
B 0.801 0.500 0.250
B 0.199 0.500 0.750
B 0.500 0.801 0.750
B 0.500 0.801 0.250
B 0.500 0.199 0.250
B 0.500 0.199 0.750
B 0.500 0.500 0.099
B 0.500 0.500 0.599
B 0.500 0.500 0.401
B 0.199 0.500 0.250
Ho 0.000 0.000 0.000

=====

Compound: DyHoB
Source: Alexandria
Functional: PBE
Structure: relaxed

Results
DFT formation energy ... 0.046 eV per atom
E_tot ... -5.240 eV/atom
Space-group type ... R-3
Total moment ... 0.00 Bohr magnetons per cell

Cell lengths 7.560, 7.560, 7.560 Å; angles 94.50, 94.50, 94.50 degrees
Fractional coordinates of all 18 atoms:
Ho 0.548 0.411 0.185
Ho 0.815 0.452 0.589
Ho 0.589 0.815 0.452
Ho 0.411 0.185 0.548
Ho 0.185 0.548 0.411
Ho 0.452 0.589 0.815
Dy 0.095 0.318 0.925
Dy 0.318 0.925 0.095
Dy 0.682 0.075 0.905
Dy 0.905 0.682 0.075
Dy 0.075 0.905 0.682
Dy 0.925 0.095 0.318
B 0.419 0.908 0.734
B 0.092 0.266 0.581
B 0.266 0.581 0.092
B 0.734 0.419 0.908
B 0.908 0.734 0.419
B 0.581 0.092 0.266

=====

Compound: Dy4BI5
Source: Alexandria
Functional: PBE
Structure: relaxed

Results
E_tot ... -4.363 eV/atom
Space-group type ... C2/m
Energy relative to the lowest polymorph listed for this composition ... 0 meV/atom
Total moment ... 0.00 Bohr magnetons per cell
E_form (uncorrected) ... -1.08 eV/atom

Cell lengths 4.055, 8.657, 9.740 Å; angles 102.30, 102.02, 90.00 degrees
Fractional coordinates of all 10 atoms:
I 0.829 0.174 0.658
I 0.500 0.500 0.000
I 0.835 0.659 0.670
I 0.165 0.341 0.330
I 0.171 0.826 0.342
Dy 0.001 0.805 0.002
Dy 0.999 0.195 0.998
Dy 0.635 0.068 0.270
Dy 0.365 0.932 0.730
B 0.500 0.000 0.000

=====

Compound: Dy4BI5
Source: Alexandria
Functional: PBE
Structure: relaxed

Results
E_tot ... -4.349 eV/atom
Space-group type ... C2/m
Energy relative to the lowest polymorph listed for this composition ... 14 meV/atom
Total moment ... 0.00 Bohr magnetons per cell
E_form (uncorrected) ... -1.07 eV/atom

Cell lengths 4.052, 8.585, 10.926 Å; angles 89.65, 100.68, 90.00 degrees
Fractional coordinates of all 10 atoms:
I 0.500 0.500 0.000
I 0.852 0.258 0.704
I 0.852 0.746 0.704
I 0.148 0.254 0.296
I 0.148 0.742 0.296
Dy 0.615 0.998 0.231
Dy 0.000 0.803 0.000
Dy 0.385 0.002 0.769
Dy 0.000 0.197 0.000
B 0.500 0.000 0.000

=====

Compound: DyBI
Source: Alexandria
Functional: PBE
Structure: relaxed

Results
E_tot ... -4.909 eV/atom
Space-group type ... Cmcm
Total moment ... 0.00 Bohr magnetons per cell
E_form (uncorrected) ... -0.63 eV/atom

Cell lengths 3.976, 3.499, 11.908 Å; angles 90.00, 99.61, 90.00 degrees
Fractional coordinates of all 6 atoms:
B 0.491 0.750 0.982
B 0.509 0.250 0.018
I 0.835 0.750 0.669
I 0.165 0.250 0.331
Dy 0.937 0.250 0.873
Dy 0.063 0.750 0.127